# 1
PBE-GGA CrIn2, relaxed; symmetry = P-62m; crystal system = hexagonal; E = -4.68 eV/atom; spin magnetization = 3.82 μB per formula unit; DFT formation energy = 0.35 eV per atom
1.0
8.089 0.000 0.000
-4.045 7.005 0.000
0.000 0.000 3.433
Cr In
3 6
Direct
0.000 0.000 0.000
0.333 0.667 0.500
0.667 0.333 0.500
0.000 0.282 0.500
0.000 0.619 0.000
0.282 0.000 0.500
0.381 0.381 0.000
0.619 0.000 0.000
0.718 0.718 0.500


# 2
PBE-GGA Cr4In, relaxed; energy relative to the lowest polymorph listed for this composition = 0 meV/atom; symmetry = Im-3m; crystal system = cubic; E = -6.67 eV/atom; spin magnetization = 18.34 μB per formula unit; DFT formation energy = 1.58 eV per atom
1.0
-3.162 3.162 3.162
3.162 -3.162 3.162
3.162 3.162 -3.162
Cr In
4 1
Direct
0.000 0.000 0.500
0.000 0.500 0.000
0.500 0.000 0.000
0.500 0.500 0.500
0.000 0.000 0.000


# 3
PBE-GGA Cr2In, relaxed; symmetry = C2/m; crystal system = monoclinic; E = -7.00 eV/atom; spin magnetization = 0.64 μB per formula unit; DFT formation energy = 0.33 eV per atom
1.0
4.952 -1.489 0.000
4.952 1.489 0.000
-2.651 0.000 6.373
Cr In
4 2
Direct
0.011 0.011 0.208
0.348 0.348 0.960
0.652 0.652 0.040
0.989 0.989 0.792
0.337 0.337 0.385
0.663 0.663 0.615